Computed, not measured: an optimized crystal structure of Ce3Cu11 at the PBE level of DFT.

Cell: 4.1955 7.8901 7.8901 Å, 67.89 74.58 74.58°
With the nearest neighbours (Å) after each atom.
Positions (direct):
Ce 0.6951 0.3049 0.3049  14 Cu 2.94-3.20
Ce 0.3049 0.6951 0.6951  14 Cu 2.94-3.20
Ce 0.0000 0.0000 0.0000  4 Cu 2.89
Cu 0.8798 0.4010 0.8395  6 Cu 2.44-2.63
Cu 0.5000 0.7054 0.2946  8 Cu 2.53-2.77
Cu 0.1202 0.1605 0.5990  6 Cu 2.44-2.63
Cu 0.0000 0.5000 0.5000  4 Cu 2.44
Cu 0.6745 0.9715 0.6795  5 Cu 2.50-2.63
Cu 0.6745 0.6795 0.9715  5 Cu 2.50-2.63
Cu 0.5000 0.2946 0.7054  8 Cu 2.53-2.77
Cu 0.8798 0.8395 0.4010  6 Cu 2.44-2.63
Cu 0.3255 0.3205 0.0285  5 Cu 2.50-2.63
Cu 0.3255 0.0285 0.3205  5 Cu 2.50-2.63
Cu 0.1202 0.5990 0.1605  6 Cu 2.44-2.63

VASP energy = -4.602 eV/atom
magnetization = 1.91 μB per formula unit
ΔH_f (0 K) = -0.112 eV per atom
space-group type = Immm (71)